[1]
# SrCa2MgF8 | Alexandria | PBE | relaxed
data_SrCa2MgF8
_cell_length_a 4.022
_cell_length_b 7.596
_cell_length_c 5.444
_cell_angle_alpha 90.00
_cell_angle_beta 94.03
_cell_angle_gamma 90.00
_space_group_name_H-M_alt 'P 1 2/m 1'
_space_group_IT_number 10
loop_
_space_group_symop_operation_xyz
'x,y,z'
'-x,-y,-z'
'-x,y,-z'
'x,-y,z'
loop_
_atom_site_label
_atom_site_type_symbol
_atom_site_fract_x
_atom_site_fract_y
_atom_site_fract_z
Sr1 Sr 0.000 0.000 0.000
Ca1 Ca 0.500 0.265 0.500
Mg1 Mg 0.000 0.500 0.000
F1 F 0.035 0.278 0.755
F2 F 0.440 0.500 0.230
F3 F 0.492 0.000 0.736
# - Theoretical density: 3.44 Mg/m³
# - Density of states at the Fermi level: 0.000 states/eV/cell
# - ΔE_f (raw): -3.771 eV per atom


[2]
# Tl2OsRh | Alexandria | PBE | relaxed
data_Tl2OsRh
_cell_length_a 3.004
_cell_length_b 4.634
_cell_length_c 11.536
_cell_angle_alpha 90.00
_cell_angle_beta 90.00
_cell_angle_gamma 90.00
_space_group_name_H-M_alt 'I m m 2'
_space_group_IT_number 44
loop_
_space_group_symop_operation_xyz
'x,y,z'
'-x,-y,z'
'-x,y,z'
'x,-y,z'
'x+1/2,y+1/2,z+1/2'
'-x+1/2,-y+1/2,z+1/2'
'-x+1/2,y+1/2,z+1/2'
'x+1/2,-y+1/2,z+1/2'
loop_
_atom_site_label
_atom_site_type_symbol
_atom_site_fract_x
_atom_site_fract_y
_atom_site_fract_z
Tl1 Tl 0.000 0.000 0.000
Tl2 Tl 0.000 0.500 0.223
Os1 Os 0.000 0.500 0.725
Rh1 Rh 0.000 0.000 0.413
# - Theoretical density: 14.52 Mg/m³
# - Energy above the lowest structure with this stoichiometry: 151 meV/atom
# - Density of states at the Fermi level: 6.321 states/eV/cell


[3]
# PmEr6Sc4 | Alexandria | PBE | relaxed
data_PmEr6Sc4
_cell_length_a 6.329
_cell_length_b 6.329
_cell_length_c 16.541
_cell_angle_alpha 90.00
_cell_angle_beta 90.00
_cell_angle_gamma 90.00
_space_group_name_H-M_alt 'I -4 2 m'
_space_group_IT_number 121
_space_group_name_Hall 'I -4 2'
loop_
_atom_site_label
_atom_site_type_symbol
_atom_site_fract_x
_atom_site_fract_y
_atom_site_fract_z
Pm1 Pm 0.000 0.000 0.000
Er1 Er 0.000 0.500 0.000
Er2 Er 0.188 0.188 0.178
Sc1 Sc 0.175 0.175 0.372
# - Theoretical density: 6.66 Mg/m³
# - Total DFT energy (no corrections): -107.56 eV/cell
# - Density of states at the Fermi level: 33.618 states/eV/cell


[4]
# TbSc2As | Alexandria | PBE | relaxed
data_TbSc2As
_cell_length_a 3.6651
_cell_length_b 3.6651
_cell_length_c 26.7163
_cell_angle_alpha 90.00
_cell_angle_beta 90.00
_cell_angle_gamma 120.00
_space_group_name_H-M_alt 'R -3 m'
_space_group_IT_number 166
_space_group_name_Hall '-R 3 2"'
loop_
_atom_site_label
_atom_site_type_symbol
_atom_site_fract_x
_atom_site_fract_y
_atom_site_fract_z
Tb1 Tb 0.0000 0.0000 0.0000
Sc1 Sc 0.0000 0.0000 0.2267
As1 As 0.0000 0.0000 0.5000
# - Theoretical density: 5.19 Mg/m³
# - Energy above the lowest structure with this stoichiometry: 202 meV/atom
# - Density of states at the Fermi level: 15.470 states/eV/cell


Q: Which of these has the highest density of states at the Fermi level?
A: PmEr6Sc4


Q: What is the formula in the first record?
A: SrCa2MgF8


Q: Which of these has the lowest theoretical density?
A: SrCa2MgF8


Q: Which value of density of states at the Fermi level does entry 3 give?
A: 33.618 states/eV/cell